Crystalline KRbBa2Ga at its relaxed geometry. Source: Alexandria via LeMat-Bulk, functional PBE.

Cell: 6.614 6.614 7.127 Å, 90.00 90.00 90.00°
Space group P4/mmm (No. 123)
Inequivalent atoms, fractional coordinates:
K 0.000 0.000 0.000
Rb 0.500 0.500 0.000
Ba 0.000 0.500 0.500
Ga 0.000 0.000 0.500

Summary:
- Fermi-level density of states (states/eV/cell) = 4.28
- excess energy over the best structure of this formula in the dataset (eV/atom) = 0.000
- magnetization (μB/cell) = 0.0
- electronic total energy (eV per atom) = -1.78
- E_form (meV/atom) = 6
- crystal system = tetragonal